# CeCd12Au6, optimized geometry, DFT GGA-PBE
data_CeCd12Au6
_chemical_formula_sum 'Ce3 Cd36 Au18'
_cell_length_a 12.6207
_cell_length_b 12.6207
_cell_length_c 9.4549
_cell_angle_alpha 90.00
_cell_angle_beta 90.00
_cell_angle_gamma 120.00
_symmetry_space_group_name_H-M 'R -3 m'
_symmetry_Int_Tables_number 166
_symmetry_space_group_name_Hall '-R 3 2"'
loop_
_atom_site_label
_atom_site_type_symbol
_atom_site_fract_x
_atom_site_fract_y
_atom_site_fract_z
Ce1 Ce 0.0000 0.0000 0.0000
Cd1 Cd 0.0000 0.3868 0.5000
Cd2 Cd 0.0829 0.1658 0.3098
Au1 Au 0.0474 0.5237 0.2433
# formation enthalpy at 0 K: -0.147 eV per atom


# Ce2Cd3Au5, optimized geometry, DFT GGA-PBE
data_Ce2Cd3Au5
_chemical_formula_sum 'Ce8 Cd12 Au20'
_cell_length_a 10.962
_cell_length_b 14.517
_cell_length_c 5.900
_cell_angle_alpha 90.00
_cell_angle_beta 90.00
_cell_angle_gamma 90.00
_symmetry_space_group_name_H-M 'I b a m'
_symmetry_Int_Tables_number 72
_symmetry_space_group_name_Hall '-I 2 2c'
loop_
_atom_site_label
_atom_site_type_symbol
_atom_site_fract_x
_atom_site_fract_y
_atom_site_fract_z
Ce1 Ce 0.233 0.124 0.000
Cd1 Cd 0.000 0.500 0.250
Cd2 Cd 0.081 0.155 0.500
Au1 Au 0.000 0.000 0.250
Au2 Au 0.000 0.305 0.250
Au3 Au 0.187 0.410 0.000
# formation enthalpy at 0 K: -0.355 eV per atom